## Cu3Ag7 (PBE-GGA)

Data for a geometry-optimized Cu3Ag7 structure.

```
data_Cu3Ag7
_cell_length_a 4.962
_cell_length_b 4.962
_cell_length_c 8.999
_cell_angle_alpha 90.72
_cell_angle_beta 90.72
_cell_angle_gamma 47.27
_space_group_name_H-M_alt 'P 1'
_space_group_IT_number 1
loop_
_space_group_symop_operation_xyz
'x,y,z'
loop_
_atom_site_label
_atom_site_type_symbol
_atom_site_fract_x
_atom_site_fract_y
_atom_site_fract_z
Ag1 Ag 0.591 0.591 0.193
Ag2 Ag 0.202 0.202 0.384
Ag3 Ag 0.498 0.498 0.492
Ag4 Ag 0.800 0.800 0.596
Ag5 Ag 0.100 0.100 0.706
Ag6 Ag 0.406 0.406 0.816
Ag7 Ag 0.707 0.707 0.914
Cu1 Cu 0.997 0.997 0.014
Cu2 Cu 0.305 0.305 0.104
Cu3 Cu 0.895 0.895 0.281
```

Output
* energy of formation from the pure elements: 0.07 eV/atom
* ΔE to the lowest computed polymorph: 0.42 eV per formula unit
* energy: -3.02 eV per atom
* volume: 16.27 Å³ per atom